1.
Computed, not measured: an optimized crystal structure of LaGa11Ir at the PBE level of DFT.

Lattice parameters (Å, degrees): 5.2466 12.3499 7.9078 90.00 108.53 90.00
With the nearest neighbours (Å) after each atom.
Space group C2/m (No. 12)
One atom of each set of equivalent atoms:
La 0.0000 0.0000 0.0000 (multiplicity 2)  16 Ga 3.35-3.50
Ga 0.0000 0.0000 0.5000 (multiplicity 2)  2 Ir 2.62, 8 Ga 2.76
Ga 0.1196 0.3905 0.2323 (multiplicity 8)  7 Ga 2.71-3.00, 1 Ir 2.75
Ga 0.1989 0.1753 0.3660 (multiplicity 8)  1 Ir 2.69, 5 Ga 2.73-3.00
Ga 0.2500 0.2500 0.0000 (multiplicity 4)  6 Ga 2.62-2.81
Ir 0.0000 0.5000 0.5000 (multiplicity 2)  10 Ga 2.62-2.75

Electronic total energy ... -3.850 eV/atom
Theoretical density ... 7.51 g/cm³
Energy of formation from the pure elements ... -22.0 kJ per mole of atoms

---

2.
Computed, not measured: an optimized crystal structure of La3Ga7Ir4 at the PBE level of DFT.

Lattice parameters (Å, degrees): 16.0925 4.3364 9.4548 90.00 123.63 90.00
With the nearest neighbours (Å) after each atom.
Space group C2/m (No. 12)
One atom of each set of equivalent atoms:
La 0.0000 0.0000 0.0000 (multiplicity 2)  6 Ir 2.95-3.30
La 0.1924 0.5000 0.7049 (multiplicity 4)  10 Ga 3.10-3.39, 4 Ir 3.12-3.19
Ga 0.0000 0.0000 0.5000 (multiplicity 2)  2 Ir 2.68, 4 Ga 2.97
Ga 0.0030 0.5000 0.2881 (multiplicity 4)  3 Ir 2.52-2.68, 1 Ga 2.79
Ga 0.1607 0.0000 0.4297 (multiplicity 4)  3 Ir 2.55-2.65
Ga 0.1781 0.5000 0.0282 (multiplicity 4)  4 Ir 2.61-2.85, 1 Ga 2.79
Ir 0.1144 0.0000 0.8408 (multiplicity 4)  6 Ga 2.62-2.85
Ir 0.1587 0.5000 0.2850 (multiplicity 4)  5 Ga 2.52-2.65

Electronic total energy ... -5.789 eV/atom
Theoretical density ... 10.12 g/cm³
Energy of formation from the pure elements ... -66.4 kJ per mole of atoms